Below is an optimized crystal structure of SmTmTl, with properties calculated at the GGA-PBE level.

DFT total energy ... -3.881 eV per atom
Energy relative to the lowest polymorph listed for this composition ... 0.00 eV per formula unit

a = 7.3298 Å, b = 7.3298 Å, c = 7.3298 Å
α = 90.00°, β = 90.00°, γ = 90.00°
Last column: nearest neighbours and their distance in Å.
Space group F-43m (No. 216)
One atom of each set of equivalent atoms:
1 Sm 0.0000 0.0000 0.0000 [4 per cell]  4 Tl 3.17
2 Tm 0.0000 0.0000 0.5000 [4 per cell]  4 Tl 3.17
3 Tl 0.2500 0.2500 0.2500 [4 per cell]  4 Tm 3.17, 4 Sm 3.17